Material: ErPS
Method: DFT, GGA-PBEsol
State: relaxed

Its formation energy (no corrections) is -1.59 eV/atom. The raw total energy comes out at -6.621 eV per atom. The calculation puts the volume at 220 Å³ per cell.

Cell: 3.586 6.826 8.997 Å, 90.00 90.00 90.00°
Fractional coordinates of all 12 atoms:
P 0.250 0.093 0.961
P 0.750 0.407 0.461
P 0.250 0.593 0.539
P 0.750 0.907 0.039
S 0.750 0.408 0.846
S 0.250 0.092 0.346
S 0.750 0.908 0.654
S 0.250 0.592 0.154
Er 0.750 0.792 0.340
Er 0.250 0.208 0.660
Er 0.750 0.292 0.160
Er 0.250 0.708 0.840